A plane-wave DFT calculation with PBE was carried out for an optimized crystal structure of LaCeZn2In2.

## Properties
Its space group is P-3m1. As for the formation energy: -401 meV per atom.

The structure in POSCAR format:
```
LaCeZn2In2
1.0
4.793 0.000 0.000
-2.396 4.150 0.000
0.000 0.000 7.576
La Ce Zn In
1 1 2 2
direct
0.000 0.000 0.000
0.000 0.000 0.500
0.333 0.667 0.714
0.667 0.333 0.286
0.333 0.667 0.269
0.667 0.333 0.731
```

=====

A plane-wave DFT calculation with PBE was carried out for an optimized crystal structure of ZrAg2P.

## Properties
Its space group is C2/m. As for the formation energy: -133 meV per atom.

The structure in POSCAR format:
```
ZrAg2P
1.0
2.720 -5.471 0.000
2.720 5.471 0.000
-1.587 0.000 2.505
Zr Ag P
1 2 1
direct
0.000 0.000 0.000
0.000 0.500 0.500
0.500 0.000 0.500
0.500 0.500 0.000
```

=====

A plane-wave DFT calculation with PBE was carried out for an optimized crystal structure of UTiPdO6.

## Properties
Its space group is P-31c. Its raw formation energy is -2290 meV per atom.

The structure in POSCAR format:
```
UTiPdO6
1.0
5.424 0.000 0.000
-2.712 4.697 0.000
0.000 0.000 9.048
U Ti Pd O
2 2 2 12
direct
0.333 0.667 0.250
0.667 0.333 0.750
0.333 0.667 0.750
0.667 0.333 0.250
0.000 0.000 0.000
0.000 0.000 0.500
0.015 0.362 0.635
0.015 0.653 0.865
0.347 0.362 0.865
0.347 0.985 0.635
0.362 0.015 0.135
0.362 0.347 0.365
0.638 0.653 0.635
0.638 0.985 0.865
0.653 0.015 0.365
0.653 0.638 0.135
0.985 0.347 0.135
0.985 0.638 0.365
```